[1]
Below is a relaxed MgZnSe crystal, with properties calculated at the GGA-PBE level.

Values from the calculation:
The calculation puts the density at 2.97 g cm⁻³. The value obtained for the distance to the lowest polymorph of the same formula is 292 meV per atom. As for the crystal system: hexagonal. The total moment comes out at 0.0 μB/f.u. For the uncorrected formation energy, the calculation gives -318 meV/atom.

a = 4.3298 Å, b = 4.3298 Å, c = 11.6177 Å
α = 90.00°, β = 90.00°, γ = 120.00°
Fractional coordinates of all 6 atoms:
1 Mg 0.3333 0.6667 0.7500
2 Mg 0.6667 0.3333 0.2500
3 Se 0.3333 0.6667 0.2500
4 Se 0.6667 0.3333 0.7500
5 Zn 0.0000 0.0000 0.0000
6 Zn 0.0000 0.0000 0.5000

---

[2]
Below is a relaxed Mg5ZnSe crystal, with properties calculated at the GGA-PBE level.

Values from the calculation:
The calculation puts the density at 2.81 g cm⁻³. As for the crystal system: tetragonal. The total moment comes out at 0.0 μB/f.u. The calculation puts the density of states at the Fermi level at 3.01 states/eV/cell. For the uncorrected formation energy, the calculation gives -164 meV/atom.

a = 4.4093 Å, b = 4.4093 Å, c = 8.0723 Å
α = 90.00°, β = 90.00°, γ = 90.00°
Fractional coordinates of all 7 atoms:
1 Mg 0.5000 0.0000 0.2518
2 Mg 0.0000 0.5000 0.2518
3 Mg 0.5000 0.0000 0.7482
4 Mg 0.0000 0.5000 0.7482
5 Mg 0.5000 0.5000 0.0000
6 Se 0.5000 0.5000 0.5000
7 Zn 0.0000 0.0000 0.0000

---

[3]
Below is a relaxed MgZnSe crystal, with properties calculated at the GGA-PBE level.

Values from the calculation:
The calculation puts the density at 4.64 g cm⁻³. The value obtained for the distance to the lowest polymorph of the same formula is 426 meV per atom. As for the crystal system: hexagonal. The total moment comes out at 0.0 μB/f.u. The calculation puts the density of states at the Fermi level at 1.52 states/eV/cell. For the uncorrected formation energy, the calculation gives -184 meV/atom.

a = 4.7808 Å, b = 4.7808 Å, c = 6.1006 Å
α = 90.00°, β = 90.00°, γ = 120.00°
Fractional coordinates of all 6 atoms:
1 Mg 0.0000 0.0000 0.5000
2 Mg 0.0000 0.0000 0.0000
3 Zn 0.3333 0.6667 0.7500
4 Zn 0.6667 0.3333 0.2500
5 Se 0.3333 0.6667 0.2500
6 Se 0.6667 0.3333 0.7500

---

[4]
Below is a relaxed Mg6ZnSe6 crystal, with properties calculated at the GGA-PBE level.

Values from the calculation:
The calculation puts the density at 3.80 g cm⁻³. The value obtained for the distance to the lowest polymorph of the same formula is 0 meV per atom. As for the crystal system: hexagonal. The total moment comes out at 0.0 μB/f.u. The calculation puts the density of states at the Fermi level at 3.55 states/eV/cell. For the uncorrected formation energy, the calculation gives -764 meV/atom.

a = 6.6262 Å, b = 6.6262 Å, c = 7.8802 Å
α = 90.00°, β = 90.00°, γ = 120.00°
Fractional coordinates of all 13 atoms:
1 Se 0.3333 0.6667 0.0000
2 Se 0.6667 0.3333 0.5000
3 Se 0.6667 0.3333 0.0000
4 Se 0.0000 0.0000 0.7139
5 Se 0.3333 0.6667 0.5000
6 Se 0.0000 0.0000 0.2861
7 Mg 0.5000 0.0000 0.7447
8 Mg 0.5000 0.5000 0.7447
9 Mg 0.5000 0.5000 0.2553
10 Mg 0.0000 0.5000 0.2553
11 Mg 0.5000 0.0000 0.2553
12 Mg 0.0000 0.5000 0.7447
13 Zn 0.0000 0.0000 0.0000

---

[5]
Below is a relaxed Mg2ZnSe crystal, with properties calculated at the GGA-PBE level.

Values from the calculation:
The calculation puts the density at 3.85 g cm⁻³. The value obtained for the distance to the lowest polymorph of the same formula is 93 meV per atom. As for the crystal system: orthorhombic. The total moment comes out at 0.0 μB/f.u. The calculation puts the density of states at the Fermi level at 2.18 states/eV/cell. For the uncorrected formation energy, the calculation gives -393 meV/atom.

a = 3.6315 Å, b = 5.8954 Å, c = 7.7656 Å
α = 90.00°, β = 90.00°, γ = 90.00°
Fractional coordinates of all 8 atoms:
1 Zn 0.5000 0.1636 0.0000
2 Zn 0.0000 0.8364 0.5000
3 Mg 0.0000 0.2159 0.2841
4 Mg 0.5000 0.7841 0.7841
5 Mg 0.0000 0.2159 0.7159
6 Mg 0.5000 0.7841 0.2159
7 Se 0.5000 0.4400 0.5000
8 Se 0.0000 0.5600 0.0000

---

[6]
Below is a relaxed MgZnSe crystal, with properties calculated at the GGA-PBE level.

Values from the calculation:
The calculation puts the density at 4.02 g cm⁻³. The value obtained for the distance to the lowest polymorph of the same formula is 195 meV per atom. As for the crystal system: orthorhombic. The total moment comes out at 0.0 μB/f.u. The calculation puts the density of states at the Fermi level at 1.55 states/eV/cell. For the uncorrected formation energy, the calculation gives -414 meV/atom.

a = 3.5888 Å, b = 6.5960 Å, c = 11.7703 Å
α = 90.00°, β = 90.00°, γ = 90.00°
Fractional coordinates of all 12 atoms:
1 Zn 0.5000 0.2900 0.5732
2 Zn 0.5000 0.0595 0.7419
3 Zn 0.5000 0.5595 0.2581
4 Zn 0.5000 0.7900 0.4268
5 Mg 0.0000 0.1451 0.9346
6 Mg 0.0000 0.4923 0.7380
7 Mg 0.0000 0.6451 0.0654
8 Mg 0.0000 0.9923 0.2620
9 Se 0.5000 0.9697 0.0811
10 Se 0.5000 0.7176 0.6316
11 Se 0.5000 0.4697 0.9189
12 Se 0.5000 0.2176 0.3684

---

[7]
Below is a relaxed MgZnSe crystal, with properties calculated at the GGA-PBE level.

Values from the calculation:
The calculation puts the density at 2.98 g cm⁻³. The value obtained for the distance to the lowest polymorph of the same formula is 291 meV per atom. As for the crystal system: hexagonal. The total moment comes out at 0.0 μB/f.u. For the uncorrected formation energy, the calculation gives -319 meV/atom.

a = 4.3267 Å, b = 4.3267 Å, c = 5.7897 Å
α = 90.00°, β = 90.00°, γ = 120.03°
Fractional coordinates of all 3 atoms:
1 Mg 0.3334 0.6666 0.5000
2 Zn 0.9999 0.0001 0.0000
3 Se 0.6666 0.3334 0.5000

---

[8]
Below is a relaxed MgZnSe crystal, with properties calculated at the GGA-PBE level.

Values from the calculation:
The calculation puts the density at 4.45 g cm⁻³. The value obtained for the distance to the lowest polymorph of the same formula is 409 meV per atom. As for the crystal system: hexagonal. The total moment comes out at 0.0 μB/f.u. The calculation puts the density of states at the Fermi level at 3.75 states/eV/cell. For the uncorrected formation energy, the calculation gives -201 meV/atom.

a = 7.7245 Å, b = 7.7245 Å, c = 3.6580 Å
α = 90.00°, β = 90.00°, γ = 120.00°
Fractional coordinates of all 9 atoms:
1 Zn 0.6667 0.3333 0.0000
2 Zn 0.0000 0.0000 0.5000
3 Zn 0.3333 0.6667 0.0000
4 Mg 0.0000 0.2609 0.0000
5 Mg 0.7391 0.7391 0.0000
6 Mg 0.2609 0.0000 0.0000
7 Se 0.4824 0.4824 0.5000
8 Se 0.0000 0.5176 0.5000
9 Se 0.5176 0.0000 0.5000

---

[9]
Below is a relaxed Mg2Zn2Se crystal, with properties calculated at the GGA-PBE level.

Values from the calculation:
The calculation puts the density at 4.27 g cm⁻³. The value obtained for the distance to the lowest polymorph of the same formula is 29 meV per atom. As for the crystal system: orthorhombic. The total moment comes out at 0.0 μB/f.u. The calculation puts the density of states at the Fermi level at 3.11 states/eV/cell. For the uncorrected formation energy, the calculation gives -315 meV/atom.

a = 7.2688 Å, b = 7.2688 Å, c = 6.6152 Å
α = 90.00°, β = 90.00°, γ = 144.88°
Fractional coordinates of all 10 atoms:
1 Se 0.2870 0.2870 0.2500
2 Se 0.7130 0.7130 0.7500
3 Zn 0.7180 0.3108 0.2500
4 Zn 0.3108 0.7180 0.2500
5 Zn 0.6892 0.2820 0.7500
6 Zn 0.2820 0.6892 0.7500
7 Mg 0.1243 0.8757 0.5000
8 Mg 0.8757 0.1243 0.0000
9 Mg 0.1243 0.8757 0.0000
10 Mg 0.8757 0.1243 0.5000

---

[10]
Below is a relaxed MgZn2Se crystal, with properties calculated at the GGA-PBE level.

Values from the calculation:
The calculation puts the density at 4.55 g cm⁻³. As for the crystal system: tetragonal. The total moment comes out at 0.0 μB/f.u. The calculation puts the density of states at the Fermi level at 0.84 states/eV/cell. For the uncorrected formation energy, the calculation gives -265 meV/atom.

a = 3.6784 Å, b = 3.6794 Å, c = 6.3178 Å
α = 90.00°, β = 90.00°, γ = 90.00°
Fractional coordinates of all 4 atoms:
1 Mg 0.0000 0.0000 0.5616
2 Se 0.5000 0.5000 0.6383
3 Zn 0.5000 0.5000 0.1842
4 Zn 0.0000 0.0000 0.1159

---

[11]
Below is a relaxed MgZn2Se crystal, with properties calculated at the GGA-PBE level.

Values from the calculation:
The calculation puts the density at 3.84 g cm⁻³. As for the crystal system: hexagonal. The total moment comes out at 0.0 μB/f.u. The calculation puts the density of states at the Fermi level at 2.30 states/eV/cell. For the uncorrected formation energy, the calculation gives -244 meV/atom.

a = 4.3475 Å, b = 4.3475 Å, c = 12.3570 Å
α = 90.00°, β = 90.00°, γ = 120.00°
Fractional coordinates of all 8 atoms:
1 Mg 0.0000 0.0000 0.7500
2 Mg 0.0000 0.0000 0.2500
3 Zn 0.6667 0.3333 0.5192
4 Zn 0.6667 0.3333 0.9808
5 Zn 0.3333 0.6667 0.0192
6 Zn 0.3333 0.6667 0.4808
7 Se 0.3333 0.6667 0.2500
8 Se 0.6667 0.3333 0.7500

---

[12]
Below is a relaxed Mg2Zn3Se crystal, with properties calculated at the GGA-PBE level.

Values from the calculation:
The calculation puts the density at 4.56 g cm⁻³. The value obtained for the distance to the lowest polymorph of the same formula is 0 meV per atom. As for the crystal system: hexagonal. The total moment comes out at 0.0 μB/f.u. The calculation puts the density of states at the Fermi level at 4.33 states/eV/cell. For the uncorrected formation energy, the calculation gives -310 meV/atom.

a = 4.1817 Å, b = 4.1817 Å, c = 15.5663 Å
α = 90.00°, β = 90.00°, γ = 120.00°
Fractional coordinates of all 12 atoms:
1 Mg 0.6667 0.3333 0.1482
2 Mg 0.3333 0.6667 0.8518
3 Mg 0.3333 0.6667 0.6482
4 Mg 0.6667 0.3333 0.3518
5 Se 0.0000 0.0000 0.2500
6 Se 0.0000 0.0000 0.7500
7 Zn 0.6667 0.3333 0.5366
8 Zn 0.3333 0.6667 0.0366
9 Zn 0.0000 0.0000 0.0000
10 Zn 0.0000 0.0000 0.5000
11 Zn 0.6667 0.3333 0.9634
12 Zn 0.3333 0.6667 0.4634